No. 1
A plane-wave DFT calculation with PBE was carried out for a relaxed structure of NaTaBe.

Cell and atoms, written as extended XYZ:
```
12
Lattice="7.4874 0.0000 0.0000 0.0000 3.8656 0.0000 0.0000 0.0000 7.6693" Properties=species:S:1:pos:R:3 pbc="T T T"
Na 0.1755 0.9664 1.1036
Na 3.5682 2.8992 4.9382
Na 3.9192 0.9664 2.7310
Na 7.3119 2.8992 6.5657
Ta 0.8430 0.9664 4.2516
Ta 2.9007 2.8992 0.4170
Ta 4.5867 0.9664 7.2523
Ta 6.6444 2.8992 3.4177
Be 1.5104 2.8992 2.7226
Be 2.2332 0.9664 6.5572
Be 5.2541 2.8992 1.1120
Be 5.9769 0.9664 4.9467
```

Summary:
Its symmetry is Pnma (62). For the magnetic moment, the calculation gives 0.0 μB per formula unit. For the offset from the most stable computed form, the calculation gives 485 meV per atom. Its formation energy is 755 meV/atom. The calculation puts the energy at -0.1792 hartree per atom. As for the crystal system: orthorhombic.

No. 2
A plane-wave DFT calculation with PBE was carried out for a relaxed structure of NaTaBe.

Cell and atoms, written as extended XYZ:
```
6
Lattice="2.8576 0.0000 0.0000 -0.0032 4.2524 0.0000 -1.3704 -0.6837 9.9128" Properties=species:S:1:pos:R:3 pbc="T T T"
Na 0.0284 0.7166 3.5836
Na 1.4556 2.8521 6.3292
Ta -0.0046 2.9193 1.0901
Ta 1.4886 0.6494 8.8227
Be 0.0571 2.8315 8.9770
Be 1.4269 0.7372 0.9358
```

Summary:
Its symmetry is P-1 (2). For the magnetic moment, the calculation gives 0.0 μB per formula unit. For the offset from the most stable computed form, the calculation gives 135 meV per atom. Its formation energy is 405 meV/atom. The calculation puts the energy at -0.1921 hartree per atom. As for the crystal system: triclinic.

No. 3
A plane-wave DFT calculation with PBE was carried out for a relaxed structure of NaTa3Be.

Cell and atoms, written as extended XYZ:
```
5
Lattice="4.5229 0.0000 0.0000 0.0000 4.5229 0.0000 0.0000 0.0000 4.5229" Properties=species:S:1:pos:R:3 pbc="T T T"
Na 0.0000 0.0000 0.0000
Ta 0.0000 2.2614 2.2614
Ta 2.2614 0.0000 2.2614
Ta 2.2614 2.2614 0.0000
Be 2.2614 2.2614 2.2614
```

Summary:
Its symmetry is Pm-3m (221). For the magnetic moment, the calculation gives 0.0 μB per formula unit. For the offset from the most stable computed form, the calculation gives 0 meV per atom. Its formation energy is 1016 meV/atom. The calculation puts the energy at -0.2611 hartree per atom. As for the crystal system: cubic.

No. 4
A plane-wave DFT calculation with PBE was carried out for a relaxed structure of NaTa3Be.

Cell and atoms, written as extended XYZ:
```
5
Lattice="4.6173 0.0000 0.0000 0.0000 4.6173 0.0000 0.0000 0.0000 4.6173" Properties=species:S:1:pos:R:3 pbc="T T T"
Na 0.0000 0.0000 0.0000
Ta 0.0000 0.0000 2.3087
Ta 0.0000 2.3087 0.0000
Ta 2.3087 0.0000 0.0000
Be 2.3087 2.3087 2.3087
```

Summary:
Its symmetry is Pm-3m (221). For the magnetic moment, the calculation gives 0.0 μB per formula unit. For the offset from the most stable computed form, the calculation gives 1551 meV per atom. Its formation energy is 2567 meV/atom. The calculation puts the energy at -0.2041 hartree per atom. As for the crystal system: cubic.